## w
# CdPOs2

A relaxed CdPOs2 crystal (PBE, Alexandria).

Results
Mass density (kg/m3): 13159

```
CdPOs2
1.0
-3.534 3.534 2.647
3.534 -3.534 2.647
3.534 3.534 -2.647
Cd P Os
2 2 4
Cartesian
0.000 0.000 0.000 Cd
0.000 3.534 1.323 Cd
3.534 0.000 1.323 P
0.000 0.000 2.647 P
1.767 -1.239 1.985 Os
2.295 1.767 0.662 Os
1.767 4.772 -0.662 Os
1.239 1.767 3.309 Os
```



## x
# CdPOs2

A relaxed CdPOs2 crystal (PBE, Alexandria).

Results
Mass density (kg/m3): 13965

```
CdPOs2
1.0
2.969 0.000 0.000
0.000 3.747 0.000
-1.454 0.000 5.598
Cd P Os
1 1 2
Cartesian
0.000 0.000 0.000 Cd
0.758 0.000 2.799 P
0.051 1.874 3.953 Os
1.464 1.874 1.646 Os
```



## y
# CdPOs2

A relaxed CdPOs2 crystal (PBE, Alexandria).

Results
Mass density (kg/m3): 12332

```
CdPOs2
1.0
3.414 -1.431 0.000
3.414 1.431 0.000
-3.156 0.000 7.216
Cd P Os
1 1 2
Cartesian
0.000 0.000 0.000 Cd
1.836 0.000 3.608 P
-0.114 0.000 4.795 Os
3.787 0.000 2.422 Os
```



Which of them is most stable? Easy: y.



## w
# CdOs2Pb

A relaxed CdOs2Pb crystal (PBE, Alexandria).

Results
Mass density (kg/m3): 15767

```
CdOs2Pb
1.0
1.548 -2.564 0.000
1.548 2.564 0.000
0.000 0.000 9.290
Cd Os Pb
1 2 1
Cartesian
0.000 0.000 0.000 Cd
1.548 0.000 2.338 Os
1.548 0.000 6.953 Os
0.000 0.000 4.645 Pb
```



## x
# CdOs2Pb

A relaxed CdOs2Pb crystal (PBE, Alexandria).

Results
Mass density (kg/m3): 14492

```
CdOs2Pb
1.0
-1.457 2.366 5.816
1.457 -2.366 5.816
1.457 2.366 -5.816
Cd Os Pb
1 2 1
Cartesian
0.000 0.000 0.000 Cd
1.457 0.000 3.516 Os
0.000 0.000 5.577 Os
0.000 2.366 2.416 Pb
```



Which of them is most stable? Easy: x.



## w
# CdOs2Pb

A relaxed CdOs2Pb crystal (PBE, Alexandria).

Results
Mass density (kg/m3): 14634

```
CdOs2Pb
1.0
1.471 0.849 10.599
-1.471 0.849 10.599
0.000 -1.698 10.599
Cd Os Pb
1 2 1
Cartesian
0.000 0.000 0.000 Cd
0.000 0.000 15.035 Os
0.000 0.000 23.672 Os
0.000 0.000 7.029 Pb
```



## x
# CdOs2Pb

A relaxed CdOs2Pb crystal (PBE, Alexandria).

Results
Mass density (kg/m3): 14887

```
CdOs2Pb
1.0
2.983 0.000 0.000
0.000 1.480 8.844
0.000 -1.480 8.844
Cd Os Pb
1 2 1
Cartesian
0.000 0.000 0.000 Cd
0.000 0.000 3.591 Os
1.491 0.000 10.865 Os
1.491 0.000 14.651 Pb
```



Which of them is most stable? Easy: x.



## w
# PmTmCdOs

A relaxed PmTmCdOs crystal (PBE, Alexandria).

Results
Mass density (kg/m3): 10859

```
PmTmCdOs
1.0
3.465 0.000 0.000
0.000 3.465 0.000
0.000 0.000 7.854
Pm Tm Cd Os
1 1 1 1
Cartesian
0.000 0.000 0.000 Pm
0.000 0.000 4.508 Tm
1.732 1.732 2.379 Cd
1.732 1.732 6.085 Os
```



## x
# PmTmCdOs

A relaxed PmTmCdOs crystal (PBE, Alexandria).

Results
Mass density (kg/m3): 11246

```
PmTmCdOs
1.0
0.000 3.571 3.571
3.571 0.000 3.571
3.571 3.571 0.000
Pm Tm Cd Os
1 1 1 1
Cartesian
0.000 0.000 0.000 Pm
3.571 3.571 3.571 Tm
5.356 5.356 5.356 Cd
1.785 1.785 1.785 Os
```



Which of them is most stable? Easy: w.



## w
# Pr6Cd2Os

A relaxed Pr6Cd2Os crystal (PBE, Alexandria).

Results
Mass density (kg/m3): 7013

```
Pr6Cd2Os
1.0
7.131 0.000 0.000
0.000 7.630 0.000
-6.974 0.000 10.970
Pr Cd Os
12 4 2
Cartesian
-2.120 1.404 5.039 Pr
-5.607 2.411 10.524 Pr
-1.187 5.307 5.039 Pr
-4.674 6.138 10.524 Pr
-2.760 3.836 8.206 Pr
0.726 7.609 2.721 Pr
-0.569 0.021 8.250 Pr
2.918 3.794 2.764 Pr
4.832 1.492 0.446 Pr
1.345 2.323 5.931 Pr
5.764 5.219 0.446 Pr
2.277 6.226 5.931 Pr
-3.800 0.700 8.226 Cd
-0.313 3.115 2.740 Cd
0.471 4.515 8.230 Cd
3.957 6.930 2.745 Cd
0.000 0.000 0.000 Os
-3.487 3.815 5.485 Os
```



## x
# Pr6Cd2Os

A relaxed Pr6Cd2Os crystal (PBE, Alexandria).

Results
Mass density (kg/m3): 7607

```
Pr6Cd2Os
1.0
-4.915 5.188 5.396
4.915 -5.188 5.396
4.915 5.188 -5.396
Pr Cd Os
12 4 2
Cartesian
4.915 3.486 -2.797 Pr
2.681 1.867 0.000 Pr
7.149 1.867 0.000 Pr
3.288 0.000 2.866 Pr
6.542 0.000 2.866 Pr
0.000 1.702 2.599 Pr
4.915 3.486 2.797 Pr
-1.627 5.188 2.530 Pr
1.627 5.188 2.530 Pr
-2.234 3.321 5.396 Pr
2.234 3.321 5.396 Pr
0.000 1.702 8.193 Pr
0.000 3.729 0.000 Cd
3.521 5.188 0.000 Cd
1.394 0.000 5.396 Cd
0.000 6.646 0.000 Cd
0.000 0.000 0.000 Os
4.915 0.000 0.000 Os
```



Which of them is most stable? Easy: w.